[1]
This record from the Alexandria database describes a relaxed structure of SnTe2PI. The functional is PBE.

Cell lengths 5.374, 5.374, 5.328 Å; angles 90.00, 90.00, 90.00 degrees
Fractional positions:
Sn: 0.000 0.000 0.000
Te: 0.000 0.500 0.500
Te: 0.500 0.000 0.500
P: 0.500 0.500 0.500
I: 0.500 0.500 0.000

Results
Its raw formation energy is 1.385 eV per formula unit. As for the symmetry: No. 123. Its total energy is -3.17 eV per atom. The calculation puts the volume at 154 Å³ per cell.



[2]
This record from the Alexandria database describes a relaxed structure of SnTe2PI. The functional is PBE.

Cell lengths 5.802, 5.802, 5.919 Å; angles 90.00, 90.00, 90.00 degrees
Fractional positions:
Sn: 0.000 0.000 0.000
Te: 0.000 0.500 0.000
Te: 0.500 0.000 0.000
P: 0.500 0.500 0.500
I: 0.000 0.000 0.500

Results
Its raw formation energy is 4.337 eV per formula unit. As for the symmetry: No. 123. Its total energy is -2.58 eV per atom. The calculation puts the volume at 199 Å³ per cell.



Q: Among the records above, which one has the highest raw formation energy?
A: number 2